Record 1
6
Lattice="5.375 0.000 0.000 2.327 5.101 0.000 1.184 2.512 5.280" Properties=species:S:1:pos:R:3 comment="TlZnHg (PBE, optimized geometry)" rho_g_cm3=10.79 de_polymorph_mev_per_atom=12 pbc="T T T"
Tl 2.560 3.390 5.277
Tl 6.326 4.223 0.003
Zn 1.175 2.528 2.687
Zn 7.712 5.085 2.593
Hg 5.025 5.071 3.614
Hg 3.862 2.541 1.666

=====

Record 2
16
Lattice="4.214 2.433 6.881 -4.214 2.433 6.881 0.000 -4.866 6.881" Properties=species:S:1:pos:R:3 comment="Nd8TeSe4S3 (PBE, optimized geometry)" rho_g_cm3=6.64 raw_formation_energy_ev_per_atom=-1.8366 pbc="T T T"
Nd -2.254 -1.301 11.984
Nd 0.000 -2.602 8.660
Nd -2.254 1.301 8.660
Nd 0.000 0.000 5.008
Nd 0.000 0.000 15.636
Nd 2.254 -1.301 11.984
Nd 0.000 2.602 11.984
Nd 2.254 1.301 8.660
Te 0.000 0.000 10.322
Se 0.000 0.000 0.000
Se -2.107 -1.216 6.881
Se -2.107 1.216 13.763
Se 0.000 2.433 6.881
S -4.214 0.000 10.322
S -2.107 1.216 3.441
S 2.107 1.216 3.441